No. 1
LiZnCdAg: optimized geometry, PBE.

Calculated values
As for the formation energy from the elements: -0.17 eV/atom. Its electronic total energy is -1.907 eV/atom. For the calculated volume, the calculation gives 16.85 Å³/atom.

a = 4.5677 Å, b = 4.5677 Å, c = 4.5677 Å
α = 60.00°, β = 60.00°, γ = 60.00°
Element x y z (fractional)
1 Li 0.0000 0.0000 0.0000
2 Zn 0.5000 0.5000 0.5000
3 Cd 0.7500 0.7500 0.7500
4 Ag 0.2500 0.2500 0.2500

---

No. 2
HgBiC3: optimized geometry, PBE.

Calculated values
As for the formation energy from the elements: 3.28 eV/atom. The calculation puts the relative energy among the computed polymorphs at 114 meV/atom. Its electronic total energy is -3.093 eV/atom. For the calculated volume, the calculation gives 19.45 Å³/atom.

a = 4.5985 Å, b = 4.5985 Å, c = 4.5985 Å
α = 90.00°, β = 90.00°, γ = 90.00°
Element x y z (fractional)
1 Hg 0.0000 0.0000 0.0000
2 Bi 0.5000 0.5000 0.5000
3 C 0.0000 0.5000 0.5000
4 C 0.5000 0.0000 0.5000
5 C 0.5000 0.5000 0.0000

---

No. 3
NpMo2S6: optimized geometry, PBE.

Calculated values
Its electronic total energy is -7.228 eV/atom. For the calculated volume, the calculation gives 22.53 Å³/atom. The calculation puts the energy relative to the elements, uncorrected at -0.632 eV/atom.

a = 6.2449 Å, b = 6.2449 Å, c = 9.0636 Å
α = 118.07°, β = 118.07°, γ = 41.59°
Element x y z (fractional)
1 Np 0.0000 0.0000 0.0000
2 Mo 0.1373 0.1373 0.5657
3 Mo 0.8627 0.8627 0.4343
4 S 0.0348 0.0348 0.7241
5 S 0.3000 0.3000 0.4466
6 S 0.3492 0.3492 0.8651
7 S 0.6508 0.6508 0.1349
8 S 0.7000 0.7000 0.5534
9 S 0.9652 0.9652 0.2759